Material: ZnTcGeSb2
Method: DFT, PBEsol
State: optimized geometry Values from VASP.

## Properties
E_form (uncorrected) = 1.183 eV/atom

The structure in Quantum ESPRESSO input format:
```
&SYSTEM
  ibrav = 0, nat = 5, ntyp = 4
/
ATOMIC_SPECIES
Sb 121.76 Sb.upf
Ge 72.64 Ge.upf
Tc 98.00 Tc.upf
Zn 65.41 Zn.upf
CELL_PARAMETERS angstrom
-1.813 -3.212 2.766
0.593 -3.575 -3.762
4.766 -1.124 1.819
ATOMIC_POSITIONS angstrom
Sb 2.383 -0.562 0.910
Sb 0.297 -1.787 -1.881
Ge 0.000 0.000 0.000
Tc -0.907 -1.606 1.383
Zn 1.773 -3.955 0.411
```